DFT (GGA-PBE) results for a relaxed Th2OsRh crystal.

a = 5.0925 Å, b = 5.0925 Å, c = 3.4862 Å
α = 90.00°, β = 90.00°, γ = 90.00°
With the nearest neighbours (Å) after each atom.
Atoms (fractional coordinates):
Th (0.0000, 0.5000, 0.0000)  4 Os 3.09, 4 Rh 3.09
Th (0.5000, 0.0000, 0.0000)  4 Os 3.09, 4 Rh 3.09
Os (0.0000, 0.0000, 0.5000)  8 Th 3.09
Rh (0.5000, 0.5000, 0.5000)  8 Th 3.09

The calculation puts the energy relative to the elements at -0.45 eV/atom. The value obtained for the electronic total energy is -8.8027 eV per atom.